# SmInO3 PBE-GGA relaxed
# Formation energy (no corrections) = -2.48 eV/atom
# Crystal system = orthorhombic
# Total DFT energy (no corrections) = -34.7 eV per formula unit
data_SmInO3
_cell_length_a 5.628
_cell_length_b 5.941
_cell_length_c 8.262
_cell_angle_alpha 90.00
_cell_angle_beta 90.00
_cell_angle_gamma 90.00
_symmetry_space_group_name_H-M 'P 1'
_symmetry_Int_Tables_number 1
_symmetry_space_group_name_Hall 'P 1'
loop_
_atom_site_label
_atom_site_type_symbol
_atom_site_fract_x
_atom_site_fract_y
_atom_site_fract_z
Sm1 Sm 0.978 0.063 0.250
Sm2 Sm 0.478 0.437 0.750
Sm3 Sm 0.522 0.563 0.250
Sm4 Sm 0.022 0.937 0.750
In1 In 0.500 0.000 0.000
In2 In 0.500 0.000 0.500
In3 In 0.000 0.500 0.000
In4 In 0.000 0.500 0.500
O1 O 0.635 0.061 0.750
O2 O 0.191 0.194 0.570
O3 O 0.191 0.194 0.930
O4 O 0.691 0.306 0.430
O5 O 0.691 0.306 0.070
O6 O 0.135 0.439 0.250
O7 O 0.865 0.561 0.750
O8 O 0.309 0.694 0.930
O9 O 0.309 0.694 0.570
O10 O 0.809 0.806 0.070
O11 O 0.809 0.806 0.430
O12 O 0.365 0.939 0.250